1.
Computed, not measured: a relaxed structure of InCo2Pb at the PBE level of DFT.

Calculated values
energy above the lowest structure with this stoichiometry = 0.103 eV per atom
energy relative to the elements = 0.38 eV per atom

Geometry as POSCAR:
```
InCo2Pb
1.0
4.5204 0.1032 0.0046
-0.1046 4.5204 0.0046
-0.0060 -0.0063 3.2204
Co In Pb
2 1 1
Direct
0.0000 0.0000 0.0000
0.5000 0.5000 0.0000
0.5000 0.0000 0.5000
0.0000 0.5000 0.5000
```

2.
Computed, not measured: a relaxed structure of ScSbRu2 at the PBE level of DFT.

Geometry as POSCAR:
```
ScSbRu2
1.0
-3.3554 0.0869 3.1569
-0.4184 -3.4607 3.0135
1.0311 0.6740 4.4402
Ru Sb Sc
2 1 1
Direct
0.0000 0.0000 0.0000
0.2500 0.2500 0.2500
0.5000 0.5000 0.5000
0.7500 0.7500 0.7500
```

no.,magnetic moment (μB/f.u.),uncorrected energy (eV/atom)
1,1.42,-4.78
2,1.97,-7.25